Entry 1:
## SiTc2Os (meta-GGA SCAN)

Data for SiTc2Os at its PBEsol-relaxed geometry.

Its uncorrected formation energy is -8.6 kJ per mole of atoms. Its volume is 13.51 A^3/atom.

The structure belongs to space group I4/mmm (No. 139); the cell edges are 3.6633, 3.6633 and 8.0509 Å and the angles 90.00°, 90.00° and 90.00°. The asymmetric unit holds Si at (0.0000, 0.0000, 0.0000), Tc at (0.0000, 0.5000, 0.2500) and Os at (0.0000, 0.0000, 0.5000).

***

Entry 2:
## SiTeOs2 (meta-GGA SCAN)

Data for SiTeOs2 at its PBEsol-relaxed geometry.

Its uncorrected formation energy is 68.1 kJ per mole of atoms. Its volume is 15.95 A^3/atom. The calculation puts the energy above the lowest structure with this stoichiometry at 121 meV per atom.

The structure belongs to space group Immm (No. 71); the cell edges are 2.9514, 4.8094 and 8.9906 Å and the angles 90.00°, 90.00° and 90.00°. The asymmetric unit holds Si at (0.0000, 0.0000, 0.0000), Te at (0.0000, 0.0000, 0.5000) and Os at (0.0000, 0.5000, 0.2890).

***

Entry 3:
## Si2TeOs (meta-GGA SCAN)

Data for Si2TeOs at its PBEsol-relaxed geometry.

Its uncorrected formation energy is 95.2 kJ per mole of atoms. Its volume is 16.82 A^3/atom.

The structure belongs to space group P4/mmm (No. 123); the cell edges are 3.8002, 3.8002 and 4.6579 Å and the angles 90.00°, 90.00° and 90.00°. The asymmetric unit holds Si at (0.0000, 0.5000, 0.0000), Te at (0.0000, 0.0000, 0.5000) and Os at (0.5000, 0.5000, 0.5000).

***

Entry 4:
## SiTe2Os (meta-GGA SCAN)

Data for SiTe2Os at its PBEsol-relaxed geometry.

Its uncorrected formation energy is 74.0 kJ per mole of atoms. Its volume is 21.80 A^3/atom.

The structure belongs to space group Pmmm (No. 47); the cell edges are 2.8958, 3.9345 and 7.6552 Å and the angles 90.00°, 90.00° and 90.00°. The asymmetric unit holds Si at (0.0000, 0.0000, 0.0000), Te at (0.0000, 0.5000, 0.2701) and Os at (0.0000, 0.0000, 0.5000).

***

Entry 5:
## SiTe2Os (meta-GGA SCAN)

Data for SiTe2Os at its PBEsol-relaxed geometry.

Its uncorrected formation energy is 95.1 kJ per mole of atoms. Its volume is 20.21 A^3/atom.

The structure belongs to space group Cmmm (No. 65); the cell edges are 3.1801, 5.2434 and 9.6973 Å and the angles 90.00°, 90.00° and 90.00°. The asymmetric unit holds Si at (0.0000, 0.0000, 0.0000), Te at (0.0000, 0.5000, 0.2743) and Os at (0.0000, 0.0000, 0.5000).

***

Entry 6:
## SiTe2Os (meta-GGA SCAN)

Data for SiTe2Os at its PBEsol-relaxed geometry.

Its uncorrected formation energy is 54.1 kJ per mole of atoms. Its volume is 21.05 A^3/atom.

The structure belongs to space group C2/m (No. 12); the cell edges are 6.8898, 4.0713 and 6.4609 Å and the angles 90.00°, 111.66° and 90.00°. The asymmetric unit holds Si at (0.0000, 0.0000, 0.0000), Te at (0.2398, 0.0000, 0.7224) and Os at (0.0000, 0.5000, 0.5000).

***

Entry 7:
## SiTeOs2 (meta-GGA SCAN)

Data for SiTeOs2 at its PBEsol-relaxed geometry.

Its uncorrected formation energy is 57.3 kJ per mole of atoms. Its volume is 15.32 A^3/atom. The calculation puts the energy above the lowest structure with this stoichiometry at 9 meV per atom.

The structure belongs to space group P4/mmm (No. 123); the cell edges are 4.3571, 4.3571 and 3.2277 Å and the angles 90.00°, 90.00° and 90.00°. The asymmetric unit holds Si at (0.0000, 0.0000, 0.0000), Te at (0.5000, 0.5000, 0.0000) and Os at (0.0000, 0.5000, 0.5000).

***

Entry 8:
## SiTeOs3 (meta-GGA SCAN)

Data for SiTeOs3 at its PBEsol-relaxed geometry.

Its uncorrected formation energy is 268.6 kJ per mole of atoms. Its volume is 21.63 A^3/atom.

The structure belongs to space group Pm-3m (No. 221); the cell edges are 4.7641, 4.7641 and 4.7641 Å and the angles 90.00°, 90.00° and 90.00°. The asymmetric unit holds Si at (0.0000, 0.0000, 0.0000), Te at (0.5000, 0.5000, 0.5000) and Os at (0.0000, 0.5000, 0.5000).

***

What did the fourth record say?
## SiTe2Os (meta-GGA SCAN)

Data for SiTe2Os at its PBEsol-relaxed geometry.

Its uncorrected formation energy is 74.0 kJ per mole of atoms. Its volume is 21.80 A^3/atom.

The structure belongs to space group Pmmm (No. 47); the cell edges are 2.8958, 3.9345 and 7.6552 Å and the angles 90.00°, 90.00° and 90.00°. The asymmetric unit holds Si at (0.0000, 0.0000, 0.0000), Te at (0.0000, 0.5000, 0.2701) and Os at (0.0000, 0.0000, 0.5000).